! BaZrTiN3 (GGA-PBE, relaxed); values from VASP
! Raw total energy: -50.37 eV/f.u.
! Space group: P2_1/m
&SYSTEM
  ibrav = 0, nat = 12, ntyp = 4
/
ATOMIC_SPECIES
Ba 137.33 Ba.upf
Zr 91.22 Zr.upf
Ti 47.87 Ti.upf
N 14.01 N.upf
ATOMIC_POSITIONS crystal
Ba 0.2034 0.2500 0.2137
Ba 0.7966 0.7500 0.7863
Zr 0.3460 0.7500 0.8730
Zr 0.6540 0.2500 0.1270
Ti 0.1055 0.2500 0.6062
Ti 0.8945 0.7500 0.3938
N 0.1368 0.2500 0.8459
N 0.1730 0.7500 0.5357
N 0.4590 0.7500 0.1342
N 0.5410 0.2500 0.8658
N 0.8270 0.2500 0.4643
N 0.8632 0.7500 0.1541
CELL_PARAMETERS angstrom
7.4961 0.0000 0.0000
0.0000 3.5259 0.0000
-2.3781 0.0000 7.9125